# 1
Here is an optimized crystal structure of SrMn from Alexandria. Energies are from GGA-PBE.

```
SrMn
1.0
-6.4424 0.5006 -0.2180
-0.4958 -6.4448 -0.1477
-0.2266 -0.1293 6.3999
Sr Mn
4 4
Cartesian
-1.3035 -1.1167 -0.0687
-4.6996 -1.7319 3.0039
-2.4652 -4.3416 3.0303
-5.6347 -4.8275 -0.2970
-2.6264 -3.9563 -0.1729
-6.0683 -5.1665 2.8860
-1.0965 -0.9070 3.1481
-4.3118 -1.9879 -0.1928
```

Computed properties:
* volume: 66.9 Å³/f.u.
* SG: P4_2/mnm, No. 136
* E_tot: -36.9 eV for the cell shown
* D(E_F): 1.1086 states/eV/atom

# 2
Here is an optimized crystal structure of K2AgW from Alexandria. Energies are from GGA-PBE.

```
K2AgW
1.0
4.9288 0.0060 -0.0054
4.1256 2.6968 -0.0054
0.3361 0.1003 9.9222
Ag K W
1 2 1
Cartesian
2.3488 0.7011 3.2728
8.9980 2.6859 0.8469
7.0509 2.1047 6.6135
4.7425 1.4156 4.1230
```

Computed properties:
* volume: 131.6 Å³/f.u.
* SG: Cm, No. 8
* energy relative to the lowest polymorph listed for this composition: 96 meV/atom
* D(E_F): 0.7601 states/eV/atom

# 3
Here is an optimized crystal structure of Al4Pb from Alexandria. Energies are from GGA-PBE.

```
Al4Pb
1.0
-3.4606 3.4606 2.1122
3.4606 -3.4606 2.1122
3.4606 3.4606 -2.1122
Al Pb
4 1
Cartesian
-0.6177 2.1817 2.1122
1.2789 2.8429 0.0000
4.0783 1.2789 0.0000
2.1817 0.6177 2.1122
0.0000 0.0000 0.0000
```

Computed properties:
* volume: 101.2 Å³/f.u.
* SG: I4/m, No. 87
* energy relative to the lowest polymorph listed for this composition: 80 meV/atom
* D(E_F): 0.4852 states/eV/atom

# 4
Here is an optimized crystal structure of YNb3V from Alexandria. Energies are from GGA-PBE.

```
YNb3V
1.0
4.7751 0.0000 0.0000
0.0000 4.7751 0.0000
0.0000 0.0000 4.7751
Y Nb V
1 3 1
Cartesian
2.3876 2.3876 2.3876
0.0000 2.3876 0.0000
0.0000 0.0000 2.3876
2.3876 0.0000 0.0000
0.0000 0.0000 0.0000
```

Computed properties:
* volume: 108.9 Å³/f.u.
* SG: Pm-3m, No. 221
* energy relative to the lowest polymorph listed for this composition: 0 meV/atom
* D(E_F): 0.9626 states/eV/atom